1.
Density functional theory data (PBE) for a relaxed structure of LaNi2As.

Summary:
Mass density = 7338 kg/m³
Total moment = 0.00 μB per cell
VASP energy = -5.495 eV per atom

a = 5.0683 Å, b = 4.8406 Å, c = 4.4337 Å
α = 66.08°, β = 60.82°, γ = 53.10°
With the nearest neighbours (Å) after each atom.
Atoms (fractional coordinates):
1 La 0.0000 0.0000 0.0000  4 Ni 2.53
2 Ni 0.0000 0.5000 0.5000  2 As 2.53, 2 La 2.53
3 Ni 0.5000 0.0000 0.0000  2 As 2.53, 2 La 2.53
4 As 0.5000 0.5000 0.5000  4 Ni 2.53

2.
Density functional theory data (PBE) for a relaxed structure of PmEr3Au2.

Summary:
Energy above the most stable polymorph in this dataset = 0.764 eV per formula unit
Mass density = 10718 kg/m³
Total moment = 0.00 μB per cell

a = 8.4534 Å, b = 8.4534 Å, c = 8.4640 Å
α = 112.41°, β = 112.41°, γ = 35.58°
With the nearest neighbours (Å) after each atom.
Atoms (fractional coordinates):
1 Pm 0.1362 0.1362 0.2046  5 Au 3.30-3.40, 7 Er 3.46-3.69
2 Pm 0.8638 0.8638 0.7954  5 Au 3.30-3.40, 7 Er 3.46-3.69
3 Er 0.0644 0.0644 0.7357  3 Au 2.94-3.01
4 Er 0.3069 0.3069 0.0057  2 Au 2.82-2.92, 2 Er 3.15
5 Er 0.3730 0.3730 0.4911  3 Au 2.82-2.94
6 Er 0.6270 0.6270 0.5089  3 Au 2.82-2.94
7 Er 0.6931 0.6931 0.9943  2 Au 2.82-2.92, 2 Er 3.15
8 Er 0.9356 0.9356 0.2643  3 Au 2.94-3.01
9 Au 0.2173 0.2173 0.6298  5 Er 2.92-3.17
10 Au 0.4977 0.4977 0.1643  1 Au 2.81, 4 Er 2.82-3.01
11 Au 0.5023 0.5023 0.8357  1 Au 2.81, 4 Er 2.82-3.01
12 Au 0.7827 0.7827 0.3702  5 Er 2.92-3.17

3.
Density functional theory data (PBE) for a relaxed structure of LiMg12In6.

Summary:
Mass density = 3702 kg/m³
Total moment = 0.00 μB per cell
VASP energy = -2.029 eV per atom

a = 7.6232 Å, b = 7.6232 Å, c = 7.6232 Å
α = 89.73°, β = 89.73°, γ = 89.73°
With the nearest neighbours (Å) after each atom.
Atoms (fractional coordinates):
1 Li 0.0000 0.0000 0.0000  6 In 3.04, 6 Mg 3.04
2 Mg 0.0414 0.3678 0.1472  1 Li 3.04, 4 Mg 3.07-3.17, 5 In 3.11-3.33
3 Mg 0.1472 0.0414 0.3678  1 Li 3.04, 4 Mg 3.07-3.17, 5 In 3.11-3.33
4 Mg 0.1987 0.5623 0.4766  4 In 3.01-3.16, 4 Mg 3.09-3.20
5 Mg 0.3678 0.1472 0.0414  1 Li 3.04, 4 Mg 3.07-3.17, 5 In 3.11-3.33
6 Mg 0.4377 0.5234 0.8013  4 In 3.01-3.16, 4 Mg 3.09-3.20
7 Mg 0.4766 0.1987 0.5623  4 In 3.01-3.16, 4 Mg 3.09-3.20
8 Mg 0.5234 0.8013 0.4377  4 In 3.01-3.16, 4 Mg 3.09-3.20
9 Mg 0.5623 0.4766 0.1987  4 In 3.01-3.16, 4 Mg 3.09-3.20
10 Mg 0.6322 0.8528 0.9586  1 Li 3.04, 4 Mg 3.07-3.17, 5 In 3.11-3.33
11 Mg 0.8013 0.4377 0.5234  4 In 3.01-3.16, 4 Mg 3.09-3.20
12 Mg 0.8528 0.9586 0.6322  1 Li 3.04, 4 Mg 3.07-3.17, 5 In 3.11-3.33
13 Mg 0.9586 0.6322 0.8528  1 Li 3.04, 4 Mg 3.07-3.17, 5 In 3.11-3.33
14 In 0.1178 0.2747 0.7352  9 Mg 3.01-3.33, 1 Li 3.04, 2 In 3.19
15 In 0.2648 0.8822 0.7253  9 Mg 3.01-3.33, 1 Li 3.04, 2 In 3.19
16 In 0.2747 0.7352 0.1178  9 Mg 3.01-3.33, 1 Li 3.04, 2 In 3.19
17 In 0.7253 0.2648 0.8822  9 Mg 3.01-3.33, 1 Li 3.04, 2 In 3.19
18 In 0.7352 0.1178 0.2747  9 Mg 3.01-3.33, 1 Li 3.04, 2 In 3.19
19 In 0.8822 0.7253 0.2648  9 Mg 3.01-3.33, 1 Li 3.04, 2 In 3.19

4.
Density functional theory data (PBE) for a relaxed structure of CoReOs2.

Summary:
Energy above the most stable polymorph in this dataset = 1.139 eV per formula unit
Mass density = 18770 kg/m³
Total moment = 1.04 μB per cell

a = 5.2550 Å, b = 5.2550 Å, c = 5.2550 Å
α = 149.42°, β = 130.93°, γ = 58.93°
With the nearest neighbours (Å) after each atom.
Atoms (fractional coordinates):
1 Co 0.0000 0.0000 0.0000  6 Os 2.45-2.59, 2 Re 2.45
2 Re 0.7796 0.2796 0.5000  2 Co 2.45, 4 Os 2.64
3 Os 0.2202 0.7202 0.5000  2 Co 2.45, 4 Re 2.64
4 Os 0.4899 0.4899 0.0000  4 Co 2.59, 4 Os 2.77-2.83